(1)
VASP calculation (PBE-GGA) on an optimized crystal structure of MgBeZn.

Geometry as POSCAR:
```
MgBeZn
1.0
2.896 0.000 0.000
-1.448 2.508 0.000
0.000 0.000 6.303
Mg Be Zn
1 1 1
Direct
0.000 0.000 0.000
0.667 0.333 0.667
0.333 0.667 0.382
```

Calculated values
- Total energy: -1.886 eV/atom
- Relative energy among the computed polymorphs: 296 meV per atom
- Formation energy from the elements: 0.31 eV/atom

(2)
VASP calculation (PBE-GGA) on an optimized crystal structure of MgBe2Zn2.

Geometry as POSCAR:
```
MgBe2Zn2
1.0
7.030 0.000 0.000
0.000 7.030 0.000
0.000 0.000 2.651
Mg Be Zn
2 4 4
Direct
0.000 0.000 0.000
0.500 0.500 0.000
0.113 0.387 0.000
0.387 0.887 0.000
0.613 0.113 0.000
0.887 0.613 0.000
0.181 0.681 0.500
0.319 0.181 0.500
0.681 0.819 0.500
0.819 0.319 0.500
```

Calculated values
- Total energy: -2.153 eV/atom
- Relative energy among the computed polymorphs: 0 meV per atom
- Formation energy from the elements: 0.17 eV/atom

(3)
VASP calculation (PBE-GGA) on an optimized crystal structure of MgBe3Zn.

Geometry as POSCAR:
```
MgBe3Zn
1.0
4.167 0.000 0.000
0.000 4.167 0.000
0.000 0.000 4.167
Mg Be Zn
1 3 1
Direct
0.000 0.000 0.000
0.000 0.500 0.500
0.500 0.000 0.500
0.500 0.500 0.000
0.500 0.500 0.500
```

Calculated values
- Total energy: -2.145 eV/atom
- Relative energy among the computed polymorphs: 0 meV per atom
- Formation energy from the elements: 0.66 eV/atom

(4)
VASP calculation (PBE-GGA) on an optimized crystal structure of MgBe2Zn2.

Geometry as POSCAR:
```
MgBe2Zn2
1.0
3.407 0.000 0.000
0.000 3.407 0.000
0.000 0.000 11.938
Mg Be Zn
2 4 4
Direct
0.000 0.000 0.000
0.500 0.500 0.500
0.000 0.500 0.250
0.000 0.500 0.750
0.500 0.000 0.250
0.500 0.000 0.750
0.000 0.000 0.389
0.000 0.000 0.611
0.500 0.500 0.111
0.500 0.500 0.889
```

Calculated values
- Total energy: -2.116 eV/atom
- Relative energy among the computed polymorphs: 37 meV per atom
- Formation energy from the elements: 0.20 eV/atom

(5)
VASP calculation (PBE-GGA) on an optimized crystal structure of MgBe4Zn.

Geometry as POSCAR:
```
MgBe4Zn
1.0
0.000 3.186 3.186
3.186 0.000 3.186
3.186 3.186 0.000
Mg Be Zn
1 4 1
Direct
0.000 0.000 0.000
0.124 0.625 0.625
0.625 0.124 0.625
0.625 0.625 0.124
0.625 0.625 0.625
0.250 0.250 0.250
```

Calculated values
- Total energy: -2.891 eV/atom
- Formation energy from the elements: 0.07 eV/atom

(6)
VASP calculation (PBE-GGA) on an optimized crystal structure of MgBeZn4.

Geometry as POSCAR:
```
MgBeZn4
1.0
0.000 3.574 3.574
3.574 0.000 3.574
3.574 3.574 0.000
Mg Be Zn
1 1 4
Direct
0.000 0.000 0.000
0.250 0.250 0.250
0.126 0.625 0.625
0.625 0.126 0.625
0.625 0.625 0.126
0.625 0.625 0.625
```

Calculated values
- Total energy: -1.570 eV/atom
- Formation energy from the elements: 0.17 eV/atom

(7)
VASP calculation (PBE-GGA) on an optimized crystal structure of MgBe3Zn.

Geometry as POSCAR:
```
MgBe3Zn
1.0
4.451 0.000 0.000
0.000 4.451 0.000
0.000 0.000 4.451
Mg Be Zn
1 3 1
Direct
0.000 0.000 0.000
0.000 0.000 0.500
0.000 0.500 0.000
0.500 0.000 0.000
0.500 0.500 0.500
```

Calculated values
- Total energy: -1.320 eV/atom
- Relative energy among the computed polymorphs: 826 meV per atom
- Formation energy from the elements: 1.49 eV/atom

(8)
VASP calculation (PBE-GGA) on an optimized crystal structure of Mg2BeZn.

Geometry as POSCAR:
```
Mg2BeZn
1.0
3.121 0.000 0.000
0.000 4.168 0.000
-1.512 0.000 5.100
Mg Be Zn
2 1 1
Direct
0.000 0.000 0.000
0.320 0.500 0.649
0.721 0.000 0.450
0.603 0.500 0.207
```

Calculated values
- Total energy: -1.939 eV/atom
- Relative energy among the computed polymorphs: 0 meV per atom
- Formation energy from the elements: 0.11 eV/atom

(9)
VASP calculation (PBE-GGA) on an optimized crystal structure of Mg2BeZn.

Geometry as POSCAR:
```
Mg2BeZn
1.0
3.044 0.000 0.000
-1.522 2.636 0.000
0.000 0.000 26.082
Mg Be Zn
6 3 3
Direct
0.000 0.000 0.242
0.000 0.000 0.758
0.333 0.667 0.425
0.333 0.667 0.908
0.667 0.333 0.092
0.667 0.333 0.575
0.000 0.000 0.500
0.333 0.667 0.167
0.667 0.333 0.833
0.000 0.000 0.000
0.333 0.667 0.667
0.667 0.333 0.333
```

Calculated values
- Total energy: -1.761 eV/atom
- Relative energy among the computed polymorphs: 178 meV per atom
- Formation energy from the elements: 0.29 eV/atom

(10)
VASP calculation (PBE-GGA) on an optimized crystal structure of MgBeZn.

Geometry as POSCAR:
```
MgBeZn
1.0
4.874 0.000 0.000
0.000 5.056 0.000
0.000 0.000 6.851
Mg Be Zn
4 4 4
Direct
0.000 0.250 0.120
0.000 0.750 0.880
0.500 0.250 0.380
0.500 0.750 0.620
0.250 0.250 0.750
0.250 0.750 0.250
0.750 0.250 0.750
0.750 0.750 0.250
0.000 0.000 0.500
0.000 0.500 0.500
0.500 0.000 0.000
0.500 0.500 0.000
```

Calculated values
- Total energy: -2.183 eV/atom
- Relative energy among the computed polymorphs: 0 meV per atom
- Formation energy from the elements: 0.02 eV/atom

(11)
VASP calculation (PBE-GGA) on an optimized crystal structure of MgZrBeZn.

Geometry as POSCAR:
```
MgZrBeZn
1.0
6.404 0.000 0.000
0.000 6.404 0.000
0.000 0.000 6.404
Mg Zr Be Zn
4 4 4 4
Direct
0.000 0.000 0.000
0.000 0.500 0.500
0.500 0.000 0.500
0.500 0.500 0.000
0.000 0.000 0.500
0.000 0.500 0.000
0.500 0.000 0.000
0.500 0.500 0.500
0.250 0.250 0.250
0.250 0.750 0.750
0.750 0.250 0.750
0.750 0.750 0.250
0.250 0.250 0.750
0.250 0.750 0.250
0.750 0.250 0.250
0.750 0.750 0.750
```

Calculated values
- Total energy: -3.825 eV/atom
- Formation energy from the elements: -0.04 eV/atom

(12)
VASP calculation (PBE-GGA) on an optimized crystal structure of MgZr2Be.

Geometry as POSCAR:
```
MgZr2Be
1.0
2.998 0.000 0.000
0.000 2.998 0.000
0.000 0.000 8.605
Mg Zr Be
1 2 1
Direct
0.000 0.000 0.000
0.500 0.500 0.303
0.500 0.500 0.697
0.000 0.000 0.500
```

Calculated values
- Total energy: -5.604 eV/atom
- Relative energy among the computed polymorphs: 0 meV per atom
- Formation energy from the elements: 0.00 eV/atom